VASP calculation (PBE) on an optimized crystal structure of ScSbAu2.

Unit cell a=6.9089 b=6.9089 c=6.9089 alpha=90.00 beta=90.00 gamma=90.00
Atoms (fractional coordinates):
Sc (0.0000, 0.0000, 0.0000)
Sc (0.0000, 0.5000, 0.5000)
Sc (0.5000, 0.0000, 0.5000)
Sc (0.5000, 0.5000, 0.0000)
Sb (0.2500, 0.2500, 0.7500)
Sb (0.2500, 0.7500, 0.2500)
Sb (0.7500, 0.2500, 0.2500)
Sb (0.7500, 0.7500, 0.7500)
Au (0.0000, 0.0000, 0.5000)
Au (0.0000, 0.5000, 0.0000)
Au (0.2500, 0.2500, 0.2500)
Au (0.2500, 0.7500, 0.7500)
Au (0.5000, 0.0000, 0.0000)
Au (0.5000, 0.5000, 0.5000)
Au (0.7500, 0.2500, 0.7500)
Au (0.7500, 0.7500, 0.2500)

Results
final energy: -4.65 eV per atom
ΔE_f (raw): -0.401 eV per atom
ρ: 11.292 g cm⁻³